A plane-wave DFT calculation with GGA-PBEsol was carried out for Sb2Se3 after structural relaxation. Values from VASP.

Calculated values
Uncorrected formation energy ... -0.85 eV/f.u.
Space group ... No. 62
E_tot ... -4.3025 eV/atom

Structure (Quantum ESPRESSO input):
```
&SYSTEM
  ibrav = 0, nat = 20, ntyp = 2
/
ATOMIC_SPECIES
Sb 121.76 Sb.upf
Se 78.96 Se.upf
ATOMIC_POSITIONS angstrom
Sb -8.0406 2.4103 7.1575
Sb -7.8775 -0.3663 12.3742
Sb -2.5778 -1.2031 6.1993
Sb -2.7409 1.5736 0.9826
Sb -9.3557 2.4418 10.8054
Sb -1.2627 -1.2346 2.5514
Sb -4.1444 -0.5608 9.3081
Sb -6.4740 1.7680 4.0487
Se -2.6998 -3.2437 3.6412
Se -8.1169 3.6512 4.8359
Se -2.5015 -2.4440 8.5209
Se -7.9186 4.4509 9.7156
Se -7.7111 0.5995 9.9298
Se -2.9073 0.6077 3.4270
Se -5.2726 -0.9888 6.2937
Se -4.8098 3.5197 2.8439
Se -3.0852 -0.8759 -0.1120
Se -5.8087 -2.3124 10.5129
Se -7.5332 2.0832 13.4687
Se -5.3458 2.1961 7.0631
CELL_PARAMETERS angstrom
-3.0377 -2.2001 -1.0761
-0.2022 -4.9546 10.7006
-7.3785 8.3619 3.7323
```